(1)
# meta-GGA SCAN K2CuP4O12, single point on PBEsol structure
# Uncorrected formation energy ... -2.304 eV per atom
# Magnetic moment ... 2.00 Bohr magnetons per cell
# SG ... Cc (9)
# Uncorrected energy ... -191.997 eV/f.u.
data_K2CuP4O12
_symmetry_space_group_name_H-M 'P 1'
_symmetry_Int_Tables_number 1
_cell_length_a 8.173
_cell_length_b 8.173
_cell_length_c 7.965
_cell_angle_alpha 96.72
_cell_angle_beta 96.72
_cell_angle_gamma 96.40
loop_
_symmetry_equiv_pos_as_xyz
'x,y,z'
loop_
_atom_site_label
_atom_site_fract_x
_atom_site_fract_y
_atom_site_fract_z
K1 0.537 0.796 0.093
K2 0.796 0.537 0.593
K3 0.224 0.503 0.398
K4 0.503 0.224 0.898
Cu1 0.190 0.872 0.745
Cu2 0.872 0.190 0.245
P1 0.073 0.222 0.689
P2 0.222 0.073 0.189
P3 0.164 0.538 0.917
P4 0.538 0.164 0.417
P5 0.850 0.535 0.077
P6 0.535 0.850 0.577
P7 0.985 0.846 0.328
P8 0.846 0.985 0.828
O1 0.878 0.984 0.347
O2 0.984 0.878 0.847
O3 0.019 0.747 0.471
O4 0.747 0.019 0.971
O5 0.912 0.161 0.773
O6 0.161 0.912 0.273
O7 0.177 0.083 0.659
O8 0.083 0.177 0.159
O9 0.019 0.315 0.546
O10 0.315 0.019 0.046
O11 0.183 0.349 0.844
O12 0.349 0.183 0.344
O13 0.263 0.578 0.088
O14 0.578 0.263 0.588
O15 0.517 0.677 0.489
O16 0.677 0.517 0.989
O17 0.427 0.900 0.711
O18 0.900 0.427 0.211
O19 0.726 0.897 0.659
O20 0.897 0.726 0.159
O21 0.523 0.966 0.426
O22 0.966 0.523 0.926
O23 0.642 0.199 0.277
O24 0.199 0.642 0.777

(2)
# meta-GGA SCAN MgAlCd2, single point on PBEsol structure
# ΔH_f (0 K) ... -0.076 kcal/mol of atoms
# Magnetic moment ... 0.00 Bohr magnetons per cell
# SG ... I-4m2 (119)
# Uncorrected energy ... -73.568 eV/f.u.
data_MgAlCd2
_symmetry_space_group_name_H-M 'P 1'
_symmetry_Int_Tables_number 1
_cell_length_a 4.311
_cell_length_b 4.311
_cell_length_c 5.265
_cell_angle_alpha 114.17
_cell_angle_beta 114.17
_cell_angle_gamma 90.00
loop_
_symmetry_equiv_pos_as_xyz
'x,y,z'
loop_
_atom_site_label
_atom_site_fract_x
_atom_site_fract_y
_atom_site_fract_z
Mg1 0.500 0.500 0.000
Al1 0.250 0.750 0.500
Cd1 0.000 0.000 0.000
Cd2 0.750 0.250 0.500

(3)
# meta-GGA SCAN CsCaI3, single point on PBEsol structure
# Uncorrected formation energy ... -1.766 eV per atom
# Magnetic moment ... 0.00 Bohr magnetons per cell
# SG ... Pm-3m (221)
# Uncorrected energy ... -166.527 eV/f.u.
data_CsCaI3
_symmetry_space_group_name_H-M 'P 1'
_symmetry_Int_Tables_number 1
_cell_length_a 6.080
_cell_length_b 6.080
_cell_length_c 6.080
_cell_angle_alpha 90.00
_cell_angle_beta 90.00
_cell_angle_gamma 90.00
loop_
_symmetry_equiv_pos_as_xyz
'x,y,z'
loop_
_atom_site_label
_atom_site_fract_x
_atom_site_fract_y
_atom_site_fract_z
Cs1 0.000 0.000 0.000
I1 0.500 0.000 0.500
I2 0.000 0.500 0.500
I3 0.500 0.500 0.000
Ca1 0.500 0.500 0.500

(4)
# meta-GGA SCAN FeIr2, single point on PBEsol structure
# ΔH_f (0 K) ... -3.133 kcal/mol of atoms
# Magnetic moment ... 5.88 Bohr magnetons per cell
# SG ... Cmcm (63)
# Uncorrected energy ... -160.735 eV/f.u.
data_FeIr2
_symmetry_space_group_name_H-M 'P 1'
_symmetry_Int_Tables_number 1
_cell_length_a 3.711
_cell_length_b 3.753
_cell_length_c 5.932
_cell_angle_alpha 90.00
_cell_angle_beta 108.23
_cell_angle_gamma 90.00
loop_
_symmetry_equiv_pos_as_xyz
'x,y,z'
loop_
_atom_site_label
_atom_site_fract_x
_atom_site_fract_y
_atom_site_fract_z
Ir1 0.081 0.750 0.163
Ir2 0.919 0.250 0.837
Ir3 0.749 0.750 0.499
Ir4 0.251 0.250 0.501
Fe1 0.418 0.750 0.836
Fe2 0.582 0.250 0.164

(5)
# meta-GGA SCAN ErS2, single point on PBEsol structure
# Uncorrected formation energy ... -1.874 eV per atom
# Magnetic moment ... 0.00 Bohr magnetons per cell
# SG ... P4/nmm (129)
# Uncorrected energy ... -75.218 eV/f.u.
data_ErS2
_symmetry_space_group_name_H-M 'P 1'
_symmetry_Int_Tables_number 1
_cell_length_a 3.774
_cell_length_b 3.774
_cell_length_c 7.769
_cell_angle_alpha 90.00
_cell_angle_beta 90.00
_cell_angle_gamma 90.00
loop_
_symmetry_equiv_pos_as_xyz
'x,y,z'
loop_
_atom_site_label
_atom_site_fract_x
_atom_site_fract_y
_atom_site_fract_z
Er1 0.000 0.500 0.727
Er2 0.500 0.000 0.273
S1 0.000 0.500 0.368
S2 0.500 0.000 0.632
S3 0.000 0.000 0.000
S4 0.500 0.500 0.000

(6)
# meta-GGA SCAN HfInNiAs2, single point on PBEsol structure
# ΔH_f (0 K) ... 19.041 kcal/mol of atoms
# Magnetic moment ... 1.16 Bohr magnetons per cell
# SG ... P4/mmm (123)
# Uncorrected energy ... -148.486 eV/f.u.
data_HfInNiAs2
_symmetry_space_group_name_H-M 'P 1'
_symmetry_Int_Tables_number 1
_cell_length_a 5.000
_cell_length_b 5.000
_cell_length_c 5.441
_cell_angle_alpha 90.00
_cell_angle_beta 90.00
_cell_angle_gamma 90.00
loop_
_symmetry_equiv_pos_as_xyz
'x,y,z'
loop_
_atom_site_label
_atom_site_fract_x
_atom_site_fract_y
_atom_site_fract_z
Ni1 0.500 0.500 0.500
As1 0.000 0.500 0.000
As2 0.500 0.000 0.000
Hf1 0.000 0.000 0.000
In1 0.000 0.000 0.500

Look up the uncorrected energy of the fifth one.
-75.218 eV/f.u.

Look up the magnetic moment of the sixth one.
1.16 Bohr magnetons per cell

magnetic moment of number 2 (MgAlCd2)?
0.00 Bohr magnetons per cell

Look up the uncorrected energy of the third one.
-166.527 eV/f.u.